Below is TePt2CSe after structural relaxation, with properties calculated at the PBE level.

POSCAR file:
```
TePt2CSe
1.0
-1.534 -1.697 -2.666
-0.488 -1.105 3.299
-7.433 5.533 0.754
C Pt Se Te
1 2 1 1
Direct
0.000 0.000 0.985 C
0.667 0.333 0.116 Pt
0.333 0.667 0.877 Pt
0.667 0.333 0.715 Se
0.333 0.667 0.308 Te
```

Calculated values
Magnetic moment: 0.0 Bohr magnetons per cell
E_tot: -0.1843 hartree per atom